DFT (PBE-GGA) results for a relaxed structure of Tb7CeDy3.

Properties
* energy of formation: 204 meV/atom
* DFT total energy: -4.54 eV per atom
* symmetry: P3m1

```
Tb7CeDy3
1.0
8.5885 0.0000 0.0000
0.0000 7.0463 0.0000
0.0000 -3.5232 6.1023
Tb Ce Dy
7 1 3
Cartesian
1.0136 -1.7372 5.0712 Tb
1.0136 0.0000 2.0623 Tb
1.0120 3.5232 2.0341 Tb
3.8680 5.2772 1.0214 Tb
3.8680 1.7691 1.0214 Tb
3.8680 3.5232 4.0595 Tb
1.0136 1.7372 5.0712 Tb
3.8476 0.0000 4.0682 Ce
6.7107 1.7467 3.0598 Dy
6.7107 0.0000 6.0851 Dy
6.7107 -1.7467 3.0598 Dy
```

DFT (PBE-GGA) results for a relaxed structure of PmBe4As3O12.

Properties
* DFT total energy: -6.55 eV per atom
* symmetry: R32

```
PmBe4As3O12
1.0
-0.2782 6.2078 0.6700
-5.7182 -2.0517 1.4684
3.6797 -1.9740 4.6505
Pm Be As O
1 4 3 12
Cartesian
0.0000 0.0000 0.0000 Pm
1.2222 4.7054 3.0451 Be
0.5736 -2.4893 5.1363 Be
-5.2709 1.0570 2.0019 Be
-1.1584 1.0910 3.3944 Be
-2.6942 2.5396 1.0246 As
1.9219 1.6597 2.8827 As
-1.5444 -2.0172 2.8816 As
0.3275 1.1033 3.8975 O
-2.7571 4.3959 1.7866 O
-3.3558 -2.2453 3.7169 O
2.6377 1.1224 4.6798 O
-4.8134 -0.2077 2.7467 O
1.4478 -1.2270 5.2110 O
-0.2624 4.8517 2.6735 O
-4.4739 2.3321 1.6820 O
-0.8290 -2.6595 4.5302 O
1.9806 3.4566 3.5232 O
-1.7841 2.3846 2.7651 O
-2.0184 -0.2148 3.5206 O
```

no.,calculated volume (Å³/cell),M_tot (μB per cell)
1,369,0.96
2,213,0.00